Below is a relaxed SrLiH6Au2 crystal, with properties calculated at the PBE level.

Cell lengths 6.4789, 6.4789, 7.1922 Å; angles 112.15, 112.15, 98.54 degrees
Fractional coordinates of all 20 atoms:
1 Li 0.3157 0.6843 0.7500
2 H 0.6807 0.2773 0.9510
3 H 0.3191 0.1694 0.1400
4 Sr 0.9014 0.0986 0.7500
5 H 0.7227 0.3193 0.5490
6 H 0.9817 0.2646 0.1884
7 Sr 0.0986 0.9014 0.2500
8 H 0.1694 0.3191 0.6400
9 Au 0.2798 0.4196 0.2887
10 H 0.8306 0.6809 0.3600
11 Li 0.6843 0.3157 0.2500
12 H 0.6809 0.8306 0.8600
13 Au 0.5804 0.7202 0.2113
14 H 0.7355 0.0183 0.3116
15 H 0.0183 0.7355 0.8116
16 H 0.3193 0.7227 0.0490
17 H 0.2646 0.9817 0.6884
18 H 0.2773 0.6807 0.4510
19 Au 0.7202 0.5804 0.7113
20 Au 0.4196 0.2798 0.7887

Properties
calculated total energy: -3.23 eV per atom
symmetry: C2/c
crystal system: monoclinic

Below is a relaxed SrLi2HAu crystal, with properties calculated at the PBE level.

Cell lengths 4.1349, 6.0823, 7.9059 Å; angles 90.00, 90.00, 109.87 degrees
Fractional coordinates of all 10 atoms:
1 Sr 0.5523 0.1047 0.2500
2 Li 0.8364 0.6727 0.4443
3 Li 0.8364 0.6727 0.0557
4 Li 0.1636 0.3273 0.9443
5 Sr 0.4477 0.8953 0.7500
6 Au 0.2738 0.5476 0.2500
7 Li 0.1636 0.3273 0.5557
8 H 0.0000 0.0000 0.0000
9 H 0.0000 0.0000 0.5000
10 Au 0.7262 0.4524 0.7500

Properties
distance to the lowest polymorph of the same formula: 0.0 meV/atom
symmetry: Cmcm
crystal system: orthorhombic

Below is a relaxed Li2TcHAu crystal, with properties calculated at the PBE level.

Cell lengths 3.9771, 3.9771, 3.7725 Å; angles 90.00, 90.00, 90.00 degrees
Site moments in Bohr magnetons follow the coordinates.
Fractional coordinates of all 5 atoms:
1 Tc 0.0000 0.0000 0.5000  1.03
2 Li 0.0000 0.5000 0.0000  -0.01
3 Li 0.5000 0.0000 0.0000  -0.01
4 H 0.0000 0.0000 0.0000  -0.01
5 Au 0.5000 0.5000 0.5000  0.06

Properties
calculated total energy: -4.18 eV per atom
symmetry: P4/mmm
crystal system: tetragonal

Below is a relaxed Li2TiHAu crystal, with properties calculated at the PBE level.

Cell lengths 3.8414, 3.8414, 4.3164 Å; angles 90.00, 90.00, 90.00 degrees
Site moments in Bohr magnetons follow the coordinates.
Fractional coordinates of all 5 atoms:
1 Au 0.5000 0.5000 0.5000  0.02
2 H 0.0000 0.0000 0.0000  0.00
3 Li 0.5000 0.0000 0.0000  0.00
4 Ti 0.0000 0.0000 0.5000  0.20
5 Li 0.0000 0.5000 0.0000  0.00

Properties
calculated total energy: -3.94 eV per atom
symmetry: P4/mmm
crystal system: tetragonal

Below is a relaxed LiV2HAu crystal, with properties calculated at the PBE level.

Cell lengths 3.6724, 3.6724, 4.3421 Å; angles 90.00, 90.00, 90.00 degrees
Fractional coordinates of all 5 atoms:
1 V 0.0000 0.5000 0.0000
2 H 0.0000 0.0000 0.0000
3 V 0.5000 0.0000 0.0000
4 Au 0.5000 0.5000 0.5000
5 Li 0.0000 0.0000 0.5000

Properties
calculated total energy: -5.42 eV per atom
symmetry: P4/mmm
crystal system: tetragonal

Below is a relaxed Li2ZnHAu crystal, with properties calculated at the PBE level.

Cell lengths 3.9090, 3.9090, 4.0082 Å; angles 90.00, 90.00, 90.00 degrees
Fractional coordinates of all 5 atoms:
1 Li 0.0000 0.5000 0.0000
2 Au 0.5000 0.5000 0.5000
3 Zn 0.0000 0.0000 0.5000
4 Li 0.5000 0.0000 0.0000
5 H 0.0000 0.0000 0.0000

Properties
distance to the lowest polymorph of the same formula: 0.0 meV/atom
symmetry: P4/mmm
crystal system: tetragonal

N(E_F) in states/eV per cell, matching the order above: 1.2 3.7 3.2 2.9 6.0 0.6